w) Computed, not measured: a relaxed structure of Mg2TeSe at the GGA-PBE level of DFT.

abc: 4.690 4.690 7.679
angles: 90.00 90.00 130.96
Atoms (fractional coordinates):
1 Mg 0.000 0.000 0.484
2 Mg 0.000 0.000 0.016
3 Te 0.500 0.500 0.750
4 Se 0.500 0.500 0.250


x) Computed, not measured: a relaxed structure of Mg2TeSe at the GGA-PBE level of DFT.

abc: 5.750 4.081 4.080
angles: 90.02 90.00 90.00
Atoms (fractional coordinates):
1 Te 0.500 0.875 0.875
2 Se 0.000 0.375 0.376
3 Mg 0.500 0.375 0.375
4 Mg 0.000 0.875 0.874


Consider the structures shown above. The most stable of them is x).